Computed, not measured: a relaxed structure of Na6H5Br at the PBE level of DFT.

Calculated values
Energy = -2.58 eV/atom
Density of states at the Fermi level = 0.00 states/eV/atom
Crystal system = monoclinic
Space group = C2/m (12)

Cell lengths 6.2791, 6.2791, 6.1920 Å; angles 99.52, 99.52, 120.19 degrees
Element x y z (fractional)
Na  0.0375  0.4109  0.7444
Na  0.2244  0.2244  0.2790
Na  0.4109  0.0375  0.7444
Na  0.5891  0.9625  0.2556
Na  0.7756  0.7756  0.7210
Na  0.9625  0.5891  0.2556
H  0.0000  0.0000  0.5000
H  0.1672  0.8328  0.0000
H  0.3282  0.6718  0.5000
H  0.6718  0.3282  0.5000
H  0.8328  0.1672  0.0000
Br  0.5000  0.5000  0.0000

---

Computed, not measured: a relaxed structure of MnBeCr2 at the PBE level of DFT.

Calculated values
Energy relative to the elements = 91 meV/atom
Density of states at the Fermi level = 0.83 states/eV/atom
Crystal system = orthorhombic
Space group = Pmmm (47)

Cell lengths 2.3975, 3.7677, 4.7428 Å; angles 90.00, 90.00, 90.00 degrees
Element x y z (fractional)
Mn  0.0000  0.0000  0.0000
Be  0.0000  0.0000  0.5000
Cr  0.5000  0.5000  0.2601
Cr  0.5000  0.5000  0.7399

---

Computed, not measured: a relaxed structure of Er5Fe2Au2 at the PBE level of DFT.

Calculated values
Energy relative to the elements = -397 meV/atom
Density of states at the Fermi level = 1.02 states/eV/atom
Crystal system = orthorhombic
Space group = Cmce (64)

Cell lengths 8.6823, 8.6823, 7.2015 Å; angles 90.00, 90.00, 48.55 degrees
Element x y z (fractional)
Er  0.0000  0.0000  0.0000
Er  0.0485  0.6914  0.6787
Er  0.1914  0.5485  0.1787
Er  0.3086  0.9515  0.6787
Er  0.4515  0.8086  0.1787
Er  0.5000  0.5000  0.5000
Er  0.5485  0.1914  0.8213
Er  0.6914  0.0485  0.3213
Er  0.8086  0.4515  0.8213
Er  0.9515  0.3086  0.3213
Fe  0.1064  0.8936  0.3919
Fe  0.3936  0.6064  0.8919
Fe  0.6064  0.3936  0.1081
Fe  0.8936  0.1064  0.6081
Au  0.2154  0.2154  0.0000
Au  0.2846  0.2846  0.5000
Au  0.7154  0.7154  0.5000
Au  0.7846  0.7846  0.0000

---

Computed, not measured: a relaxed structure of Ca2MgHgH at the PBE level of DFT.

Calculated values
Energy = -2.19 eV/atom
Density of states at the Fermi level = 0.33 states/eV/atom
Crystal system = tetragonal
Space group = P4/mmm (123)

Cell lengths 5.0045, 5.0045, 4.3485 Å; angles 90.00, 90.00, 90.00 degrees
Element x y z (fractional)
Ca  0.0000  0.5000  0.0000
Ca  0.5000  0.0000  0.0000
Mg  0.0000  0.0000  0.5000
Hg  0.5000  0.5000  0.5000
H  0.0000  0.0000  0.0000

---

Computed, not measured: a relaxed structure of VZn3Se at the PBE level of DFT.

Calculated values
Energy = -2.39 eV/atom
Density of states at the Fermi level = 1.41 states/eV/atom
Crystal system = cubic
Space group = Pm-3m (221)

Cell lengths 4.9761, 4.9761, 4.9761 Å; angles 90.00, 90.00, 90.00 degrees
Element x y z (fractional)
V  0.0000  0.0000  0.0000
Zn  0.0000  0.0000  0.5000
Zn  0.0000  0.5000  0.0000
Zn  0.5000  0.0000  0.0000
Se  0.5000  0.5000  0.5000

---

Computed, not measured: a relaxed structure of TaVIn2N at the PBE level of DFT.

Calculated values
Energy = -6.13 eV/atom
Density of states at the Fermi level = 1.20 states/eV/atom
Crystal system = tetragonal
Space group = P4/mmm (123)

Cell lengths 5.3498, 5.3498, 3.5128 Å; angles 90.00, 90.00, 90.00 degrees
Element x y z (fractional)
Ta  0.0000  0.0000  0.0000
V  0.5000  0.5000  0.5000
In  0.0000  0.5000  0.5000
In  0.5000  0.0000  0.5000
N  0.5000  0.5000  0.0000

---

Computed, not measured: a relaxed structure of PmPrAlIn at the PBE level of DFT.

Calculated values
Energy above the lowest structure with this stoichiometry = 0.0000 eV/atom
Energy relative to the elements = -419 meV/atom
Density of states at the Fermi level = 0.51 states/eV/atom
Crystal system = tetragonal
Space group = P4mm (99)

Cell lengths 3.7912, 3.7912, 7.6739 Å; angles 90.00, 90.00, 90.00 degrees
Element x y z (fractional)
Pm  0.0000  0.0000  0.0000
Pr  0.0000  0.0000  0.4800
Al  0.5000  0.5000  0.2343
In  0.5000  0.5000  0.7460

---

Computed, not measured: a relaxed structure of Ag5Se2Cl2 at the PBE level of DFT.

Calculated values
Energy above the lowest structure with this stoichiometry = 0.0000 eV/atom
Density of states at the Fermi level = 0.25 states/eV/atom
Crystal system = orthorhombic
Space group = Ima2 (46)

Cell lengths 9.6746, 9.6746, 9.6746 Å; angles 65.52, 134.14, 135.88 degrees
Element x y z (fractional)
Ag  0.2003  0.0223  0.2226
Ag  0.2003  0.4777  0.6780
Ag  0.2766  0.2924  0.4841
Ag  0.4937  0.6555  0.0948
Ag  0.4937  0.8990  0.3382
Ag  0.5607  0.1555  0.6618
Ag  0.5607  0.3990  0.9052
Ag  0.7997  0.5223  0.3220
Ag  0.7997  0.9777  0.7774
Ag  0.8083  0.7924  0.5159
Se  0.2945  0.0572  0.7373
Se  0.3158  0.3158  0.0000
Se  0.3158  0.8158  0.5000
Se  0.3199  0.5572  0.2627
Cl  0.8272  0.2461  0.3296
Cl  0.8272  0.9976  0.0811
Cl  0.9165  0.4976  0.6704
Cl  0.9165  0.7461  0.9189

---

Computed, not measured: a relaxed structure of AlVTe3 at the PBE level of DFT.

Calculated values
Energy above the lowest structure with this stoichiometry = 0.0000 eV/atom
Density of states at the Fermi level = 1.05 states/eV/atom
Crystal system = cubic
Space group = Pm-3m (221)

Cell lengths 5.2801, 5.2801, 5.2801 Å; angles 90.00, 90.00, 90.00 degrees
Element x y z (fractional)
Al  0.0000  0.0000  0.0000
V  0.5000  0.5000  0.5000
Te  0.0000  0.5000  0.5000
Te  0.5000  0.0000  0.5000
Te  0.5000  0.5000  0.0000

---

Computed, not measured: a relaxed structure of CrOs2W at the PBE level of DFT.

Calculated values
Energy above the lowest structure with this stoichiometry = 0.2921 eV/atom
Energy relative to the elements = 383 meV/atom
Density of states at the Fermi level = 1.75 states/eV/atom
Crystal system = cubic
Space group = F-43m (216)

Cell lengths 4.3348, 4.3348, 4.3348 Å; angles 60.00, 60.00, 60.00 degrees
Element x y z (fractional)
Cr  0.0000  0.0000  0.0000
Os  0.2500  0.2500  0.2500
Os  0.5000  0.5000  0.5000
W  0.7500  0.7500  0.7500

---

Computed, not measured: a relaxed structure of AcAg4Au4 at the PBE level of DFT.

Calculated values
Energy relative to the elements = -189 meV/atom
Density of states at the Fermi level = 0.34 states/eV/atom
Crystal system = tetragonal
Space group = P4_2/n (86)

Cell lengths 8.8668, 8.8668, 4.8934 Å; angles 90.00, 90.00, 90.00 degrees
Element x y z (fractional)
Ac  0.2500  0.2500  0.2500
Ac  0.7500  0.7500  0.7500
Ag  0.1193  0.8267  0.7489
Ag  0.1733  0.6193  0.2489
Ag  0.3267  0.8807  0.2489
Ag  0.3807  0.6733  0.7489
Ag  0.6193  0.3267  0.2511
Ag  0.6733  0.1193  0.7511
Ag  0.8267  0.3807  0.7511
Ag  0.8807  0.1733  0.2511
Au  0.0352  0.1266  0.7509
Au  0.1266  0.4648  0.7491
Au  0.3734  0.0352  0.7491
Au  0.4648  0.3734  0.7509
Au  0.5352  0.6266  0.2491
Au  0.6266  0.9648  0.2509
Au  0.8734  0.5352  0.2509
Au  0.9648  0.8734  0.2491

---

Computed, not measured: a relaxed structure of SrSm3Ho2Te6 at the PBE level of DFT.

Calculated values
Energy = -5.03 eV/atom
Density of states at the Fermi level = 0.48 states/eV/atom
Crystal system = monoclinic
Space group = C2/m (12)

Cell lengths 9.9594, 9.9594, 8.9519 Å; angles 103.63, 103.63, 25.72 degrees
Element x y z (fractional)
Sr  0.0000  0.0000  0.0000
Sm  0.0000  0.0000  0.5000
Sm  0.3390  0.3390  0.1829
Sm  0.6610  0.6610  0.8171
Ho  0.3304  0.3304  0.6600
Ho  0.6696  0.6696  0.3400
Te  0.1675  0.1675  0.5746
Te  0.1718  0.1718  0.0883
Te  0.4940  0.4940  0.7415
Te  0.5060  0.5060  0.2585
Te  0.8282  0.8282  0.9117
Te  0.8325  0.8325  0.4254

---

Computed, not measured: a relaxed structure of TbAg4B3Pt12 at the PBE level of DFT.

Calculated values
Energy relative to the elements = 226 meV/atom
Density of states at the Fermi level = 0.43 states/eV/atom
Crystal system = cubic
Space group = Im-3m (229)

Cell lengths 7.6625, 7.6625, 7.6625 Å; angles 109.47, 109.47, 109.47 degrees
Element x y z (fractional)
Tb  0.0000  0.0000  0.0000
Ag  0.0000  0.0000  0.5000
Ag  0.0000  0.5000  0.0000
Ag  0.5000  0.0000  0.0000
Ag  0.5000  0.5000  0.5000
B  0.0000  0.5000  0.5000
B  0.5000  0.0000  0.5000
B  0.5000  0.5000  0.0000
Pt  0.0000  0.2820  0.2820
Pt  0.0000  0.7180  0.7180
Pt  0.2500  0.5000  0.7500
Pt  0.2500  0.7500  0.5000
Pt  0.2820  0.0000  0.2820
Pt  0.2820  0.2820  0.0000
Pt  0.5000  0.2500  0.7500
Pt  0.5000  0.7500  0.2500
Pt  0.7180  0.0000  0.7180
Pt  0.7180  0.7180  0.0000
Pt  0.7500  0.2500  0.5000
Pt  0.7500  0.5000  0.2500

---

Computed, not measured: a relaxed structure of K3PdAu4 at the PBE level of DFT.

Calculated values
Energy relative to the elements = -191 meV/atom
Density of states at the Fermi level = 0.15 states/eV/atom
Crystal system = monoclinic
Space group = C2/m (12)

Cell lengths 6.4125, 6.4125, 7.5549 Å; angles 111.20, 111.20, 80.64 degrees
Element x y z (fractional)
K  0.0000  0.0000  0.0000
K  0.2760  0.2760  0.6942
K  0.7240  0.7240  0.3058
Pd  0.5000  0.5000  0.5000
Au  0.1790  0.5232  0.1664
Au  0.4768  0.8210  0.8336
Au  0.5232  0.1790  0.1664
Au  0.8210  0.4768  0.8336

---

Computed, not measured: a relaxed structure of TbVGa at the PBE level of DFT.

Calculated values
Energy relative to the elements = -54 meV/atom
Density of states at the Fermi level = 0.79 states/eV/atom
Crystal system = hexagonal
Space group = P-6m2 (187)

Cell lengths 4.5546, 4.5546, 3.5741 Å; angles 90.00, 90.00, 120.00 degrees
Element x y z (fractional)
Tb  0.0000  0.0000  0.0000
V  0.3333  0.6667  0.5000
Ga  0.6667  0.3333  0.5000

---

Computed, not measured: a relaxed structure of KBaTl2 at the PBE level of DFT.

Calculated values
Energy above the lowest structure with this stoichiometry = 0.0813 eV/atom
Energy relative to the elements = -134 meV/atom
Density of states at the Fermi level = 0.42 states/eV/atom
Crystal system = tetragonal
Space group = P4mm (99)

Cell lengths 4.2384, 4.2384, 9.5497 Å; angles 90.00, 90.00, 90.00 degrees
Element x y z (fractional)
K  0.0000  0.0000  0.0000
Ba  0.5000  0.5000  0.6192
Tl  0.0000  0.0000  0.4020
Tl  0.5000  0.5000  0.2240

---

Computed, not measured: a relaxed structure of Ta2SbCl at the PBE level of DFT.

Calculated values
Energy above the lowest structure with this stoichiometry = 0.8143 eV/atom
Density of states at the Fermi level = 0.89 states/eV/atom
Crystal system = tetragonal
Space group = I-42d (122)

Cell lengths 8.9916, 8.9916, 8.9916 Å; angles 150.21, 150.21, 42.63 degrees
Element x y z (fractional)
Ta  0.0572  0.6250  0.9322
Ta  0.3750  0.3072  0.4322
Ta  0.6928  0.1250  0.0678
Ta  0.8750  0.9428  0.5678
Sb  0.2500  0.7500  0.5000
Sb  0.5000  0.5000  0.0000
Cl  0.0000  0.0000  0.0000
Cl  0.7500  0.2500  0.5000

---

Computed, not measured: a relaxed structure of MoAs at the PBE level of DFT.

Calculated values
Energy relative to the elements = -240 meV/atom
Density of states at the Fermi level = 0.66 states/eV/atom
Crystal system = orthorhombic
Space group = Pnma (62)

Cell lengths 6.0468, 3.3885, 6.4350 Å; angles 90.00, 90.00, 90.00 degrees
Element x y z (fractional)
Mo  0.0142  0.2500  0.1836
Mo  0.4858  0.7500  0.6836
Mo  0.5142  0.2500  0.3164
Mo  0.9858  0.7500  0.8164
As  0.1881  0.2500  0.5684
As  0.3119  0.7500  0.0684
As  0.6881  0.2500  0.9316
As  0.8119  0.7500  0.4316

---

Computed, not measured: a relaxed structure of Ba2CeBe2S6 at the PBE level of DFT.

Calculated values
Energy = -5.33 eV/atom
Crystal system = trigonal
Space group = R-3m (166)

Cell lengths 7.8505, 7.8505, 7.8505 Å; angles 52.74, 52.74, 52.74 degrees
Element x y z (fractional)
Ba  0.2185  0.2185  0.2185
Ba  0.7815  0.7815  0.7815
Ce  0.0000  0.0000  0.0000
Be  0.4202  0.4202  0.4202
Be  0.5798  0.5798  0.5798
S  0.2510  0.7438  0.7438
S  0.2562  0.2562  0.7490
S  0.2562  0.7490  0.2562
S  0.7438  0.2510  0.7438
S  0.7438  0.7438  0.2510
S  0.7490  0.2562  0.2562

---

Computed, not measured: a relaxed structure of Zr5ReRu4 at the PBE level of DFT.

Calculated values
Energy relative to the elements = -573 meV/atom
Density of states at the Fermi level = 0.29 states/eV/atom
Crystal system = tetragonal
Space group = P4/mmm (123)

Cell lengths 3.2798, 3.2798, 16.4690 Å; angles 90.00, 90.00, 90.00 degrees
Element x y z (fractional)
Zr  0.0000  0.0000  0.0000
Zr  0.0000  0.0000  0.2006
Zr  0.0000  0.0000  0.4008
Zr  0.0000  0.0000  0.5992
Zr  0.0000  0.0000  0.7994
Re  0.5000  0.5000  0.5000
Ru  0.5000  0.5000  0.0991
Ru  0.5000  0.5000  0.2964
Ru  0.5000  0.5000  0.7036
Ru  0.5000  0.5000  0.9009